Entry from Alexandria: crystalline Ag2As2Rh at its relaxed geometry (PBE).

abc: 6.2495 6.2495 4.7990
angles: 90.00 90.00 90.00
Fractional positions:
Ag 0.2370 0.2630 0.0000
Ag 0.2630 0.7630 0.0000
Ag 0.7370 0.2370 0.0000
Ag 0.7630 0.7370 0.0000
As 0.1377 0.6377 0.5000
As 0.3623 0.1377 0.5000
As 0.6377 0.8623 0.5000
As 0.8623 0.3623 0.5000
Rh 0.0000 0.0000 0.5000
Rh 0.5000 0.5000 0.5000

Results
Its formation energy is -0.28 eV/f.u. Its space group is P4/mbm (127). The value obtained for the calculated density is 8.301 g cm⁻³. For the density of states at the Fermi level, the calculation gives 3.1 states/eV per cell.